## A
Entry from Alexandria via LeMat-Bulk: an optimized crystal structure of Hf2Al2Au (GGA-PBE).

Spin magnetization   0.00 Bohr magnetons per cell
Calculated density   10.70 g/cm³
Space group   No. 12

Cell lengths 4.221, 5.520, 9.044 Å; angles 89.39, 76.50, 67.52 degrees
Positions (direct):
Au 0.380 0.904 0.337
Au 0.620 0.096 0.663
Hf 0.917 0.260 0.906
Hf 0.083 0.740 0.094
Hf 0.322 0.671 0.684
Hf 0.678 0.329 0.316
Al 0.352 0.184 0.112
Al 0.648 0.816 0.888
Al 0.078 0.283 0.562
Al 0.922 0.717 0.438

## B
Entry from Alexandria via LeMat-Bulk: an optimized crystal structure of Hf2Al2Au (GGA-PBE).

Spin magnetization   0.00 Bohr magnetons per cell
Calculated density   10.89 g/cm³
Space group   No. 127

Cell lengths 6.573, 6.573, 4.291 Å; angles 90.00, 90.00, 90.00 degrees
Positions (direct):
Au 0.000 0.000 0.000
Au 0.500 0.500 0.000
Hf 0.163 0.663 0.500
Hf 0.837 0.337 0.500
Hf 0.663 0.837 0.500
Hf 0.337 0.163 0.500
Al 0.137 0.363 0.000
Al 0.363 0.863 0.000
Al 0.637 0.137 0.000
Al 0.863 0.637 0.000

Which structure is the least stable? The one labeled A.

## A
Entry from Alexandria via LeMat-Bulk: an optimized crystal structure of Al2HgAu (GGA-PBE).

Spin magnetization   0.00 Bohr magnetons per cell
Calculated density   9.96 g/cm³
Space group   No. 166

Cell lengths 8.561, 8.561, 8.561 Å; angles 21.72, 21.72, 21.72 degrees
Positions (direct):
Al 0.994 0.994 0.994
Al 0.506 0.506 0.506
Hg 0.750 0.750 0.750
Au 0.250 0.250 0.250

## B
Entry from Alexandria via LeMat-Bulk: an optimized crystal structure of Al2HgAu (GGA-PBE).

Spin magnetization   0.00 Bohr magnetons per cell
Calculated density   9.93 g/cm³
Space group   No. 65

Cell lengths 3.074, 3.074, 7.991 Å; angles 90.00, 90.00, 91.56 degrees
Positions (direct):
Al 0.000 0.000 0.029
Al 0.000 0.000 0.471
Au 0.500 0.500 0.250
Hg 0.500 0.500 0.750

## C
Entry from Alexandria via LeMat-Bulk: an optimized crystal structure of Al2HgAu (GGA-PBE).

Spin magnetization   0.00 Bohr magnetons per cell
Calculated density   9.65 g/cm³
Space group   No. 10

Cell lengths 3.086, 3.106, 8.109 Å; angles 87.66, 90.00, 90.00 degrees
Positions (direct):
Hg 0.500 0.750 0.750
Al 0.000 0.727 0.459
Al 0.000 0.773 0.041
Au 0.500 0.250 0.250

Which structure is the least stable? The one labeled B.

## A
Entry from Alexandria via LeMat-Bulk: an optimized crystal structure of Al2HgAu (GGA-PBE).

Spin magnetization   0.00 Bohr magnetons per cell
Calculated density   10.12 g/cm³
Space group   No. 139

Cell lengths 5.043, 5.043, 5.043 Å; angles 129.69, 129.69, 73.90 degrees
Positions (direct):
Hg 0.750 0.250 0.500
Au 0.250 0.750 0.500
Al 0.500 0.500 0.000
Al 0.000 0.000 0.000

## B
Entry from Alexandria via LeMat-Bulk: an optimized crystal structure of Al2HgAu (GGA-PBE).

Spin magnetization   0.00 Bohr magnetons per cell
Calculated density   9.83 g/cm³
Space group   No. 160

Cell lengths 8.737, 8.737, 8.737 Å; angles 21.18, 21.18, 21.18 degrees
Positions (direct):
Au 0.508 0.508 0.508
Hg 0.748 0.748 0.748
Al 0.997 0.997 0.997
Al 0.246 0.246 0.246

## C
Entry from Alexandria via LeMat-Bulk: an optimized crystal structure of Al2HgAu (GGA-PBE).

Spin magnetization   0.00 Bohr magnetons per cell
Calculated density   10.07 g/cm³
Space group   No. 119

Cell lengths 5.216, 5.216, 5.216 Å; angles 133.04, 133.04, 68.59 degrees
Positions (direct):
Al 0.000 0.000 0.000
Al 0.250 0.750 0.500
Au 0.500 0.500 0.000
Hg 0.750 0.250 0.500

Which structure is the least stable? The one labeled C.

## A
Entry from Alexandria via LeMat-Bulk: an optimized crystal structure of Al2HgAu (GGA-PBE).

Spin magnetization   0.00 Bohr magnetons per cell
Calculated density   8.93 g/cm³
Space group   No. 122

Cell lengths 7.274, 7.274, 6.044 Å; angles 53.00, 53.00, 90.00 degrees
Positions (direct):
Hg 0.750 0.250 0.500
Hg 0.000 0.000 0.000
Au 0.500 0.500 0.000
Au 0.250 0.750 0.500
Al 0.875 0.852 0.750
Al 0.602 0.125 0.250
Al 0.375 0.398 0.750
Al 0.148 0.625 0.250

## B
Entry from Alexandria via LeMat-Bulk: an optimized crystal structure of Al2HgAu (GGA-PBE).

Spin magnetization   0.00 Bohr magnetons per cell
Calculated density   9.93 g/cm³
Space group   No. 99

Cell lengths 3.035, 3.035, 8.203 Å; angles 90.00, 90.00, 90.00 degrees
Positions (direct):
Au 0.000 0.000 0.462
Al 0.500 0.500 0.262
Al 0.000 0.000 0.024
Hg 0.500 0.500 0.753

Which structure is the least stable? The one labeled A.